GaCuTe: relaxed, PBE-GGA.

Unit cell a=6.555 b=6.555 c=4.687 alpha=90.75 beta=90.75 gamma=43.05
Positions (direct):
1 Ga 0.129 0.129 0.202
2 Ga 0.871 0.871 0.798
3 Cu 0.267 0.733 0.500
4 Cu 0.362 0.638 0.000
5 Te 0.493 0.208 0.271
6 Te 0.792 0.507 0.729

Output
Total moment ... 0.00 μB/cell
Formation energy (no corrections) ... -10.4 kJ per mole of atoms

---

TiPb2Cl2: relaxed, PBE-GGA.

Unit cell a=10.211 b=10.211 c=10.211 alpha=156.89 beta=156.89 gamma=32.91
Positions (direct):
1 Ti 0.000 0.000 0.000
2 Pb 0.250 0.750 0.500
3 Pb 0.750 0.250 0.500
4 Cl 0.423 0.423 0.000
5 Cl 0.577 0.577 0.000

Output
Total moment ... 2.22 μB/cell
Formation energy (no corrections) ... 12.8 kJ per mole of atoms
DOS at the Fermi energy ... 3.43 states/eV per cell

---

TiAlAu2: relaxed, PBE-GGA.

Unit cell a=9.531 b=9.531 c=9.531 alpha=155.42 beta=155.42 gamma=35.03
Positions (direct):
1 Ti 0.000 0.000 0.000
2 Ti 0.750 0.250 0.500
3 Al 0.250 0.750 0.500
4 Al 0.500 0.500 0.000
5 Au 0.132 0.625 0.007
6 Au 0.375 0.382 0.507
7 Au 0.618 0.125 0.993
8 Au 0.875 0.868 0.493

Output
Calculated formation energy ... -22.9 kJ/mol of formula units
Total moment ... 0.00 μB/cell
DOS at the Fermi energy ... 3.59 states/eV per cell

---

Rb2UHgSe4: relaxed, PBE-GGA.

Unit cell a=14.766 b=13.145 c=8.174 alpha=84.24 beta=62.34 gamma=33.42
Positions (direct):
1 Rb 0.057 0.057 0.693
2 Rb 0.307 0.307 0.943
3 Rb 0.693 0.693 0.057
4 Rb 0.943 0.943 0.307
5 U 0.125 0.125 0.125
6 U 0.875 0.875 0.875
7 Hg 0.375 0.375 0.375
8 Hg 0.625 0.625 0.625
9 Se 0.049 0.313 0.419
10 Se 0.281 0.581 0.687
11 Se 0.313 0.049 0.719
12 Se 0.419 0.719 0.049
13 Se 0.581 0.281 0.951
14 Se 0.687 0.951 0.281
15 Se 0.719 0.419 0.313
16 Se 0.951 0.687 0.581

Output
Total moment ... 4.00 μB/cell
Formation energy (no corrections) ... -81.5 kJ per mole of atoms
DOS at the Fermi energy ... 12.85 states/eV per cell

---

AgSb: relaxed, PBE-GGA.

Unit cell a=4.181 b=4.181 c=5.442 alpha=90.00 beta=90.00 gamma=90.00
Positions (direct):
1 Ag 0.250 0.750 0.000
2 Ag 0.750 0.250 0.000
3 Sb 0.250 0.250 0.399
4 Sb 0.750 0.750 0.601

Output
Total moment ... 0.00 μB/cell
Formation energy (no corrections) ... 13.9 kJ per mole of atoms
DOS at the Fermi energy ... 1.00 states/eV per cell

---

Pa3Ga: relaxed, PBE-GGA.

Unit cell a=6.201 b=6.201 c=6.201 alpha=150.70 beta=61.44 gamma=127.30
Positions (direct):
1 Pa 0.000 0.000 0.000
2 Pa 0.075 0.309 0.766
3 Pa 0.543 0.309 0.234
4 Ga 0.515 0.015 0.500

Output
Calculated formation energy ... -53.0 kJ/mol of formula units
Total moment ... 0.00 μB/cell
DOS at the Fermi energy ... 8.01 states/eV per cell

---

Calculated values (Å³/cell) of volume for the records, taken in order: 137, 164, 150, 626, 95, 92.